Compound: TcAgRu2
Source: the Alexandria database
Functional: GGA-PBEsol
Structure: relaxed

a = 4.662 Å, b = 4.662 Å, c = 4.662 Å
α = 131.02°, β = 131.02°, γ = 71.78°
Atoms (fractional coordinates):
Tc  0.000  0.000  0.000
Ag  0.500  0.500  0.000
Ru  0.250  0.750  0.500
Ru  0.750  0.250  0.500

DFT formation energy	0.479	eV/atom
DOS at the Fermi energy	5.24	states/eV/f.u.
relative energy among the computed polymorphs	0	meV/atom

---

Compound: InRePb2
Source: the Alexandria database
Functional: GGA-PBEsol
Structure: relaxed

a = 5.342 Å, b = 5.342 Å, c = 5.342 Å
α = 129.66°, β = 129.66°, γ = 73.95°
Atoms (fractional coordinates):
In  0.000  0.000  0.000
Re  0.750  0.250  0.500
Pb  0.250  0.750  0.500
Pb  0.500  0.500  0.000

DFT formation energy	0.966	eV/atom
DOS at the Fermi energy	4.91	states/eV/f.u.
relative energy among the computed polymorphs	338	meV/atom

---

Compound: LiCd2In
Source: the Alexandria database
Functional: GGA-PBEsol
Structure: relaxed

a = 5.271 Å, b = 5.271 Å, c = 5.271 Å
α = 131.31°, β = 131.31°, γ = 71.32°
Atoms (fractional coordinates):
Li  0.000  0.000  0.000
Cd  0.250  0.750  0.500
Cd  0.500  0.500  0.000
In  0.750  0.250  0.500

DFT formation energy	-0.168	eV/atom
DOS at the Fermi energy	1.27	states/eV/f.u.

---

Compound: NaIr2PdSe
Source: the Alexandria database
Functional: GGA-PBEsol
Structure: relaxed

a = 4.559 Å, b = 4.559 Å, c = 4.354 Å
α = 90.00°, β = 90.00°, γ = 90.00°
Atoms (fractional coordinates):
Na  0.000  0.000  0.000
Ir  0.000  0.500  0.000
Ir  0.500  0.000  0.000
Pd  0.000  0.000  0.500
Se  0.500  0.500  0.500

DOS at the Fermi energy	7.56	states/eV/f.u.
formation energy (no corrections)	2158.9	meV per atom

---

Compound: GaBAs2Br
Source: the Alexandria database
Functional: GGA-PBEsol
Structure: relaxed

a = 4.821 Å, b = 4.821 Å, c = 5.135 Å
α = 90.00°, β = 90.00°, γ = 90.00°
Atoms (fractional coordinates):
Ga  0.000  0.000  0.000
B  0.500  0.500  0.500
As  0.000  0.500  0.000
As  0.500  0.000  0.000
Br  0.000  0.000  0.500

DOS at the Fermi energy	4.49	states/eV/f.u.
formation energy (no corrections)	1381.8	meV per atom
relative energy among the computed polymorphs	745	meV/atom

---

Compound: CaAg2Sb
Source: the Alexandria database
Functional: GGA-PBEsol
Structure: relaxed

a = 4.385 Å, b = 4.385 Å, c = 4.438 Å
α = 90.00°, β = 90.00°, γ = 90.00°
Atoms (fractional coordinates):
Ca  0.000  0.000  0.000
Ag  0.000  0.500  0.500
Ag  0.500  0.000  0.500
Sb  0.500  0.500  0.000

DOS at the Fermi energy	1.24	states/eV/f.u.
formation energy (no corrections)	-326.8	meV per atom

---

Compound: CrAgBr2
Source: the Alexandria database
Functional: GGA-PBEsol
Structure: relaxed

a = 4.895 Å, b = 4.895 Å, c = 4.895 Å
α = 60.00°, β = 60.00°, γ = 60.00°
Atoms (fractional coordinates):
Cr  0.000  0.000  0.000
Ag  0.500  0.500  0.500
Br  0.250  0.250  0.250
Br  0.750  0.750  0.750

DOS at the Fermi energy	2.72	states/eV/f.u.
formation energy (no corrections)	164.3	meV per atom
relative energy among the computed polymorphs	140	meV/atom

---

Compound: Re2C3
Source: the Alexandria database
Functional: GGA-PBEsol
Structure: relaxed

a = 7.800 Å, b = 7.800 Å, c = 7.800 Å
α = 22.13°, β = 22.13°, γ = 22.13°
Atoms (fractional coordinates):
Re  0.103  0.103  0.103
Re  0.897  0.897  0.897
C  0.273  0.273  0.273
C  0.500  0.500  0.500
C  0.727  0.727  0.727

DFT formation energy	1.292	eV/atom
DOS at the Fermi energy	2.62	states/eV/f.u.

---

Compound: Li2SbPb
Source: the Alexandria database
Functional: GGA-PBEsol
Structure: relaxed

a = 4.566 Å, b = 4.566 Å, c = 4.151 Å
α = 90.00°, β = 90.00°, γ = 90.00°
Atoms (fractional coordinates):
Li  0.000  0.500  0.000
Li  0.500  0.000  0.000
Sb  0.000  0.000  0.500
Pb  0.500  0.500  0.500

DOS at the Fermi energy	1.03	states/eV/f.u.
formation energy (no corrections)	-388.1	meV per atom
relative energy among the computed polymorphs	0	meV/atom

---

Compound: LaTiO2
Source: the Alexandria database
Functional: GGA-PBEsol
Structure: relaxed

a = 6.186 Å, b = 6.186 Å, c = 6.186 Å
α = 35.86°, β = 35.86°, γ = 35.86°
Atoms (fractional coordinates):
La  0.000  0.000  0.000
Ti  0.500  0.500  0.500
O  0.392  0.392  0.392
O  0.608  0.608  0.608

DOS at the Fermi energy	1.50	states/eV/f.u.
formation energy (no corrections)	-2577.6	meV per atom

---

Compound: AlIn2IrRh
Source: the Alexandria database
Functional: GGA-PBEsol
Structure: relaxed

a = 5.053 Å, b = 5.053 Å, c = 4.739 Å
α = 90.00°, β = 90.00°, γ = 90.00°
Atoms (fractional coordinates):
Al  0.000  0.000  0.000
In  0.000  0.500  0.500
In  0.500  0.000  0.500
Ir  0.500  0.500  0.500
Rh  0.500  0.500  0.000

DFT formation energy	0.716	eV/atom
DOS at the Fermi energy	3.36	states/eV/f.u.

---

Compound: LiSc2Pb
Source: the Alexandria database
Functional: GGA-PBEsol
Structure: relaxed

a = 4.521 Å, b = 4.521 Å, c = 4.187 Å
α = 90.00°, β = 90.00°, γ = 90.00°
Atoms (fractional coordinates):
Li  0.000  0.000  0.000
Sc  0.000  0.500  0.500
Sc  0.500  0.000  0.500
Pb  0.500  0.500  0.000

DFT formation energy	-0.306	eV/atom
DOS at the Fermi energy	2.98	states/eV/f.u.

---

Compound: MnAgO2
Source: the Alexandria database
Functional: GGA-PBEsol
Structure: relaxed

a = 6.674 Å, b = 6.674 Å, c = 6.674 Å
α = 24.47°, β = 24.47°, γ = 24.47°
Atoms (fractional coordinates):
Mn  0.000  0.000  0.000
Ag  0.500  0.500  0.500
O  0.386  0.386  0.386
O  0.614  0.614  0.614

DOS at the Fermi energy	1.92	states/eV/f.u.
formation energy (no corrections)	-1092.6	meV per atom

---

Compound: ScPdSe2
Source: the Alexandria database
Functional: GGA-PBEsol
Structure: relaxed

a = 8.191 Å, b = 8.191 Å, c = 8.191 Å
α = 25.77°, β = 25.77°, γ = 25.77°
Atoms (fractional coordinates):
Sc  0.000  0.000  0.000
Pd  0.500  0.500  0.500
Se  0.109  0.109  0.109
Se  0.891  0.891  0.891

DOS at the Fermi energy	3.21	states/eV/f.u.
formation energy (no corrections)	-325.0	meV per atom

---

Compound: TmTlO3
Source: the Alexandria database
Functional: GGA-PBEsol
Structure: relaxed

a = 5.763 Å, b = 8.339 Å, c = 5.673 Å
α = 90.00°, β = 90.00°, γ = 90.00°
Atoms (fractional coordinates):
Tm  0.000  0.000  0.000
Tm  0.000  0.500  0.000
Tm  0.500  0.000  0.500
Tm  0.500  0.500  0.500
Tl  0.049  0.250  0.488
Tl  0.451  0.750  0.988
Tl  0.549  0.250  0.012
Tl  0.951  0.750  0.512
O  0.092  0.750  0.127
O  0.176  0.572  0.672
O  0.176  0.928  0.672
O  0.324  0.072  0.172
O  0.324  0.428  0.172
O  0.408  0.250  0.627
O  0.592  0.750  0.373
O  0.676  0.572  0.828
O  0.676  0.928  0.828
O  0.824  0.072  0.328
O  0.824  0.428  0.328
O  0.908  0.250  0.873

formation energy (no corrections)	-2128.3	meV per atom

---

Compound: In2CoSe
Source: the Alexandria database
Functional: GGA-PBEsol
Structure: relaxed

a = 5.276 Å, b = 5.276 Å, c = 5.276 Å
α = 140.65°, β = 123.43°, γ = 71.08°
Atoms (fractional coordinates):
In  0.231  0.231  0.000
In  0.769  0.769  0.000
Co  0.000  0.500  0.500
Se  0.500  0.000  0.500

DOS at the Fermi energy	2.91	states/eV/f.u.
formation energy (no corrections)	317.3	meV per atom

---

Compound: TeSe2F
Source: the Alexandria database
Functional: GGA-PBEsol
Structure: relaxed

a = 4.710 Å, b = 4.710 Å, c = 4.710 Å
α = 60.00°, β = 60.00°, γ = 60.00°
Atoms (fractional coordinates):
Te  0.000  0.000  0.000
Se  0.250  0.250  0.250
Se  0.750  0.750  0.750
F  0.500  0.500  0.500

DOS at the Fermi energy	2.87	states/eV/f.u.
formation energy (no corrections)	-203.2	meV per atom

---

Compound: HgAsIr3
Source: the Alexandria database
Functional: GGA-PBEsol
Structure: relaxed

a = 4.527 Å, b = 4.527 Å, c = 4.527 Å
α = 90.00°, β = 90.00°, γ = 90.00°
Atoms (fractional coordinates):
Hg  0.000  0.000  0.000
As  0.500  0.500  0.500
Ir  0.000  0.500  0.500
Ir  0.500  0.000  0.500
Ir  0.500  0.500  0.000

DFT formation energy	1.096	eV/atom
DOS at the Fermi energy	1.96	states/eV/f.u.

---

Compound: TaO2F2
Source: the Alexandria database
Functional: GGA-PBEsol
Structure: relaxed

a = 3.508 Å, b = 3.508 Å, c = 3.900 Å
α = 90.00°, β = 90.00°, γ = 90.00°
Atoms (fractional coordinates):
Ta  0.000  0.000  0.000
O  0.000  0.500  0.500
O  0.500  0.000  0.500
F  0.500  0.500  0.000
F  0.500  0.500  0.500

DOS at the Fermi energy	2.46	states/eV/f.u.
formation energy (no corrections)	167.3	meV per atom

---

Compound: SbAu2
Source: the Alexandria database
Functional: GGA-PBEsol
Structure: relaxed

a = 5.999 Å, b = 5.999 Å, c = 6.181 Å
α = 109.34°, β = 109.34°, γ = 37.67°
Atoms (fractional coordinates):
Sb  0.194  0.194  0.187
Sb  0.806  0.806  0.813
Au  0.107  0.107  0.719
Au  0.418  0.418  0.642
Au  0.582  0.582  0.358
Au  0.893  0.893  0.281

DOS at the Fermi energy	1.12	states/eV/f.u.
formation energy (no corrections)	-4.8	meV per atom

---

Compound: LiTe2AsN
Source: the Alexandria database
Functional: GGA-PBEsol
Structure: relaxed

a = 5.060 Å, b = 5.060 Å, c = 3.521 Å
α = 90.00°, β = 90.00°, γ = 90.00°
Atoms (fractional coordinates):
Li  0.000  0.000  0.000
Te  0.000  0.500  0.000
Te  0.500  0.000  0.000
As  0.500  0.500  0.500
N  0.000  0.000  0.500

DOS at the Fermi energy	3.02	states/eV/f.u.
formation energy (no corrections)	785.5	meV per atom

---

Compound: CuRh2Br
Source: the Alexandria database
Functional: GGA-PBEsol
Structure: relaxed

a = 3.069 Å, b = 3.069 Å, c = 6.050 Å
α = 90.00°, β = 90.00°, γ = 90.00°
Atoms (fractional coordinates):
Cu  0.000  0.000  0.000
Rh  0.500  0.500  0.230
Rh  0.500  0.500  0.770
Br  0.000  0.000  0.500

DOS at the Fermi energy	4.59	states/eV/f.u.
formation energy (no corrections)	433.1	meV per atom
relative energy among the computed polymorphs	4	meV/atom

---

Compound: Li2ZnAu
Source: the Alexandria database
Functional: GGA-PBEsol
Structure: relaxed

a = 4.624 Å, b = 4.624 Å, c = 4.624 Å
α = 129.79°, β = 129.79°, γ = 73.75°
Atoms (fractional coordinates):
Li  0.250  0.750  0.500
Li  0.750  0.250  0.500
Zn  0.000  0.000  0.000
Au  0.500  0.500  0.000

DFT formation energy	-0.375	eV/atom
DOS at the Fermi energy	1.22	states/eV/f.u.

---

Compound: SrIn2Se
Source: the Alexandria database
Functional: GGA-PBEsol
Structure: relaxed

a = 3.907 Å, b = 3.907 Å, c = 7.058 Å
α = 90.00°, β = 90.00°, γ = 90.00°
Atoms (fractional coordinates):
Sr  0.000  0.000  0.000
In  0.500  0.500  0.295
In  0.500  0.500  0.705
Se  0.000  0.000  0.500

DOS at the Fermi energy	2.51	states/eV/f.u.
formation energy (no corrections)	-408.4	meV per atom

---

Compound: Sc2CrS
Source: the Alexandria database
Functional: GGA-PBEsol
Structure: relaxed

a = 8.639 Å, b = 8.639 Å, c = 8.639 Å
α = 22.18°, β = 22.18°, γ = 22.18°
Atoms (fractional coordinates):
Sc  0.105  0.105  0.105
Sc  0.895  0.895  0.895
Cr  0.000  0.000  0.000
S  0.500  0.500  0.500

DOS at the Fermi energy	3.09	states/eV/f.u.
formation energy (no corrections)	-268.6	meV per atom

---

Compound: K2NbCl6
Source: the Alexandria database
Functional: GGA-PBEsol
Structure: relaxed

a = 6.834 Å, b = 6.834 Å, c = 10.175 Å
α = 90.00°, β = 90.00°, γ = 90.00°
Atoms (fractional coordinates):
K  0.000  0.500  0.250
K  0.000  0.500  0.750
K  0.500  0.000  0.250
K  0.500  0.000  0.750
Nb  0.000  0.000  0.000
Nb  0.500  0.500  0.500
Cl  0.000  0.000  0.238
Cl  0.000  0.000  0.762
Cl  0.203  0.288  0.000
Cl  0.212  0.297  0.500
Cl  0.288  0.797  0.000
Cl  0.297  0.788  0.500
Cl  0.500  0.500  0.262
Cl  0.500  0.500  0.738
Cl  0.703  0.212  0.500
Cl  0.712  0.203  0.000
Cl  0.788  0.703  0.500
Cl  0.797  0.712  0.000

DOS at the Fermi energy	5.77	states/eV/f.u.
formation energy (no corrections)	-1580.7	meV per atom

---

Compound: Li2CaBi2
Source: the Alexandria database
Functional: GGA-PBEsol
Structure: relaxed

a = 8.616 Å, b = 8.616 Å, c = 3.416 Å
α = 90.00°, β = 90.00°, γ = 90.00°
Atoms (fractional coordinates):
Li  0.124  0.376  0.000
Li  0.376  0.876  0.000
Li  0.624  0.124  0.000
Li  0.876  0.624  0.000
Ca  0.000  0.000  0.500
Ca  0.500  0.500  0.500
Bi  0.169  0.669  0.500
Bi  0.331  0.169  0.500
Bi  0.669  0.831  0.500
Bi  0.831  0.331  0.500

DFT formation energy	-0.491	eV/atom
DOS at the Fermi energy	1.59	states/eV/f.u.
relative energy among the computed polymorphs	78	meV/atom